[1]
A plane-wave DFT calculation with GGA-PBE was carried out for crystalline BaZnCl3 at its relaxed geometry.

a = 5.1350 Å, b = 5.1350 Å, c = 5.1350 Å
α = 90.00°, β = 90.00°, γ = 90.00°
Closest atoms and distances in Å follow each position.
Atoms (fractional coordinates):
Ba 0.0000 0.0000 0.0000  12 Cl 3.63
Zn 0.5000 0.5000 0.5000  6 Cl 2.57
Cl 0.0000 0.5000 0.5000  2 Zn 2.57
Cl 0.5000 0.0000 0.5000  2 Zn 2.57
Cl 0.5000 0.5000 0.0000  2 Zn 2.57

Values from the calculation:
SG: Pm-3m
Polymorph energy (0 for the lowest one) (kJ per mole of atoms): 0.0


[2]
A plane-wave DFT calculation with GGA-PBE was carried out for crystalline BaZnCl2 at its relaxed geometry.

a = 6.2586 Å, b = 6.2586 Å, c = 6.2586 Å
α = 136.90°, β = 136.90°, γ = 62.59°
Closest atoms and distances in Å follow each position.
Atoms (fractional coordinates):
Ba 0.0000 0.0000 0.0000  8 Cl 3.25-3.53, 4 Zn 3.53
Zn 0.7500 0.2500 0.5000  8 Cl 3.25-3.53, 4 Ba 3.53
Cl 0.2500 0.7500 0.5000  4 Zn 3.25, 4 Ba 3.53, 4 Cl 3.53
Cl 0.5000 0.5000 0.0000  4 Ba 3.25, 4 Cl 3.53, 4 Zn 3.53

Values from the calculation:
SG: I-4m2
Polymorph energy (0 for the lowest one) (kJ per mole of atoms): 14.3


[3]
A plane-wave DFT calculation with GGA-PBE was carried out for crystalline Ba2ZrCl at its relaxed geometry.

a = 7.9782 Å, b = 7.9782 Å, c = 7.9782 Å
α = 145.57°, β = 145.57°, γ = 49.49°
Closest atoms and distances in Å follow each position.
Atoms (fractional coordinates):
Ba 0.0000 0.0000 0.0000  4 Zr 3.34
Ba 0.7500 0.2500 0.5000  4 Cl 3.34
Zr 0.5000 0.5000 0.0000  4 Ba 3.34
Cl 0.2500 0.7500 0.5000  4 Ba 3.34

Values from the calculation:
SG: I-4m2
Polymorph energy (0 for the lowest one) (kJ per mole of atoms): 40.1


[4]
A plane-wave DFT calculation with GGA-PBE was carried out for crystalline Ba2ZrCl at its relaxed geometry.

a = 7.6813 Å, b = 7.6813 Å, c = 7.6813 Å
α = 108.19°, β = 108.19°, γ = 112.06°
Closest atoms and distances in Å follow each position.
Atoms (fractional coordinates):
Ba 0.0729 0.6250 0.9479  2 Cl 3.07
Ba 0.3750 0.3229 0.4479  2 Cl 3.07
Ba 0.6771 0.1250 0.0521  2 Cl 3.07
Ba 0.8750 0.9271 0.5521  2 Cl 3.07
Zr 0.2500 0.7500 0.5000  4 Ba 3.69
Zr 0.5000 0.5000 0.0000  4 Ba 3.69
Cl 0.0000 0.0000 0.0000  4 Ba 3.07
Cl 0.7500 0.2500 0.5000  4 Ba 3.07

Values from the calculation:
SG: I-42d
Polymorph energy (0 for the lowest one) (kJ per mole of atoms): 34.8


[5]
A plane-wave DFT calculation with GGA-PBE was carried out for crystalline Ba2ZrCl2 at its relaxed geometry.

a = 9.1665 Å, b = 9.1665 Å, c = 3.8119 Å
α = 90.00°, β = 90.00°, γ = 90.00°
Closest atoms and distances in Å follow each position.
Atoms (fractional coordinates):
Ba 0.1747 0.3253 0.0000  6 Cl 3.20-3.39
Ba 0.3253 0.8253 0.0000  6 Cl 3.20-3.39
Ba 0.6747 0.1747 0.0000  6 Cl 3.20-3.39
Ba 0.8253 0.6747 0.0000  6 Cl 3.20-3.39
Zr 0.0000 0.0000 0.5000  4 Cl 3.61, 2 Zr 3.81, 8 Ba 3.88
Zr 0.5000 0.5000 0.5000  4 Cl 3.61, 2 Zr 3.81, 8 Ba 3.88
Cl 0.1274 0.6274 0.5000  6 Ba 3.20-3.39, 1 Cl 3.30
Cl 0.3726 0.1274 0.5000  6 Ba 3.20-3.39, 1 Cl 3.30
Cl 0.6274 0.8726 0.5000  6 Ba 3.20-3.39, 1 Cl 3.30
Cl 0.8726 0.3726 0.5000  6 Ba 3.20-3.39, 1 Cl 3.30

Values from the calculation:
SG: P4/mbm


[6]
A plane-wave DFT calculation with GGA-PBE was carried out for crystalline Ba2ZrCl at its relaxed geometry.

a = 6.7785 Å, b = 6.7785 Å, c = 6.2778 Å
α = 110.91°, β = 110.91°, γ = 31.52°
Closest atoms and distances in Å follow each position.
Atoms (fractional coordinates):
Ba 0.0000 0.0000 0.0000  1 Cl 3.36, 2 Ba 3.68, 2 Zr 3.75
Ba 0.1914 0.1914 0.6573  2 Cl 3.34, 2 Ba 3.68, 1 Zr 3.72
Zr 0.4188 0.4188 0.4340  2 Cl 2.80
Cl 0.7739 0.7739 0.1354  2 Zr 2.80

Values from the calculation:
SG: Cm
Polymorph energy (0 for the lowest one) (kJ per mole of atoms): 18.4


[7]
A plane-wave DFT calculation with GGA-PBE was carried out for crystalline BaZr4Cl at its relaxed geometry.

a = 6.2358 Å, b = 6.2358 Å, c = 6.2358 Å
α = 60.00°, β = 60.00°, γ = 60.00°
Closest atoms and distances in Å follow each position.
Atoms (fractional coordinates):
Ba 0.0000 0.0000 0.0000  12 Zr 3.64, 4 Cl 3.82
Zr 0.3682 0.3682 0.3682  6 Zr 2.95-3.29
Zr 0.3682 0.3682 0.8954  6 Zr 2.95-3.29
Zr 0.3682 0.8954 0.3682  6 Zr 2.95-3.29
Zr 0.8954 0.3682 0.3682  6 Zr 2.95-3.29
Cl 0.7500 0.7500 0.7500  12 Zr 3.68, 4 Ba 3.82

Values from the calculation:
SG: F-43m


[8]
A plane-wave DFT calculation with GGA-PBE was carried out for crystalline Ba2ZrCl at its relaxed geometry.

a = 3.7333 Å, b = 5.7143 Å, c = 6.6693 Å
α = 90.00°, β = 90.00°, γ = 90.00°
Closest atoms and distances in Å follow each position.
Atoms (fractional coordinates):
Ba 0.0000 0.0000 0.0000  2 Zr 3.33, 4 Cl 3.41, 2 Ba 3.73
Ba 0.5000 0.5000 0.5000  2 Cl 3.33, 4 Zr 3.41, 2 Ba 3.73
Zr 0.0000 0.0000 0.5000  6 Ba 3.33-3.41, 2 Zr 3.73
Cl 0.5000 0.5000 0.0000  6 Ba 3.33-3.41, 2 Cl 3.73

Values from the calculation:
SG: Pmmm
Polymorph energy (0 for the lowest one) (kJ per mole of atoms): 15.9


[9]
A plane-wave DFT calculation with GGA-PBE was carried out for crystalline Ba2ZrCl at its relaxed geometry.

a = 6.3534 Å, b = 6.3534 Å, c = 3.8349 Å
α = 90.00°, β = 90.00°, γ = 90.00°
Closest atoms and distances in Å follow each position.
Atoms (fractional coordinates):
Ba 0.0000 0.5000 0.0205  2 Cl 3.18
Ba 0.5000 0.0000 0.9795  2 Cl 3.18
Zr 0.0000 0.0000 0.5000  8 Ba 3.67-3.75, 2 Zr 3.83
Cl 0.5000 0.5000 0.0000  4 Ba 3.18

Values from the calculation:
SG: P-4m2
Polymorph energy (0 for the lowest one) (kJ per mole of atoms): 14.5


[10]
A plane-wave DFT calculation with GGA-PBE was carried out for crystalline BaZrCl at its relaxed geometry.

a = 7.9166 Å, b = 7.6668 Å, c = 3.5046 Å
α = 81.02°, β = 73.05°, γ = 25.93°
Closest atoms and distances in Å follow each position.
Atoms (fractional coordinates):
Ba 0.0000 0.0000 0.0000  2 Cl 3.36, 4 Ba 3.50, 2 Zr 3.51
Zr 0.3074 0.3074 0.6926  2 Cl 2.78
Cl 0.6803 0.6803 0.3197  2 Zr 2.78

Values from the calculation:
SG: Fmm2
Polymorph energy (0 for the lowest one) (kJ per mole of atoms): 12.7


[11]
A plane-wave DFT calculation with GGA-PBE was carried out for crystalline BaZrCl6 at its relaxed geometry.

a = 6.9233 Å, b = 6.9303 Å, c = 7.5158 Å
α = 62.64°, β = 62.61°, γ = 60.06°
Closest atoms and distances in Å follow each position.
Atoms (fractional coordinates):
Ba 0.0000 0.0000 0.0000  6 Cl 3.13
Zr 0.5000 0.5000 0.5000  6 Cl 2.49
Cl 0.1174 0.7044 0.7252  1 Zr 2.49
Cl 0.2952 0.5472 0.2747  1 Zr 2.49
Cl 0.4529 0.1177 0.7245  1 Zr 2.49
Cl 0.5471 0.8823 0.2755  1 Zr 2.49
Cl 0.7048 0.4528 0.7253  1 Zr 2.49
Cl 0.8826 0.2956 0.2748  1 Zr 2.49

Values from the calculation:
SG: P-1
Polymorph energy (0 for the lowest one) (kJ per mole of atoms): 0.0


[12]
A plane-wave DFT calculation with GGA-PBE was carried out for crystalline BaZrCl at its relaxed geometry.

a = 3.6103 Å, b = 3.6103 Å, c = 7.6601 Å
α = 90.00°, β = 90.00°, γ = 120.00°
Closest atoms and distances in Å follow each position.
Atoms (fractional coordinates):
Ba 0.0000 0.0000 0.0000  3 Zr 3.60, 6 Ba 3.61, 3 Cl 3.62
Zr 0.3333 0.6667 0.3832  3 Cl 2.73
Cl 0.6667 0.3333 0.6143  3 Zr 2.73

Values from the calculation:
SG: P3m1
Polymorph energy (0 for the lowest one) (kJ per mole of atoms): 0.0


Values of magnetic moment, in order: 0.00; 0.00; 3.15; 6.75; 5.80; 1.25; 0.00; 1.82; 2.07; 0.62; 0.00; 0.33, all in μB/cell.
Values of E_tot, in order: -3.193; -3.149; -3.556; -3.610; -4.033; -3.780; -5.731; -3.807; -3.821; -4.442; -4.747; -4.574, all in eV/atom.
Values of formation energy without anion corrections, in order: -1.4461; -1.4262; 0.0041; -0.0504; -0.8152; -0.2204; 0.5964; -0.2465; -0.2613; -0.3363; -2.0534; -0.4684, all in eV per atom.